[1]
{
  "formula": "Sr2TiP2N6",
  "functional": "PBE-GGA",
  "state": "optimized geometry",
  "lattice_angstrom": [[2.776, 1.603, 5.540], [-2.776, 1.603, 5.540], [0.000, -3.206, 5.540]],
  "species": ["Sr", "Sr", "Ti", "P", "P", "N", "N", "N", "N", "N", "N"],
  "fractional_positions": [[0.215, 0.215, 0.215], [0.785, 0.785, 0.785], [0.000, 0.000, 0.000], [0.409, 0.409, 0.409], [0.591, 0.591, 0.591], [0.247, 0.247, 0.739], [0.247, 0.739, 0.247], [0.261, 0.753, 0.753], [0.739, 0.247, 0.247], [0.753, 0.261, 0.753], [0.753, 0.753, 0.261]],
  "density_g_cm3": 4.14,
  "final_energy_ev_per_atom": -7.3908,
  "formation_energy_uncorrected_ev_per_atom": -0.843
}



[2]
{
  "formula": "LaNdEr2Tm2",
  "functional": "PBE-GGA",
  "state": "optimized geometry",
  "lattice_angstrom": [[6.947, 0.000, 0.000], [0.000, 9.833, 0.000], [0.000, 0.000, 5.666]],
  "species": ["La", "La", "Nd", "Nd", "Er", "Er", "Er", "Er", "Tm", "Tm", "Tm", "Tm"],
  "fractional_positions": [[0.000, 0.000, 0.000], [0.500, 0.500, 0.500], [0.000, 0.500, 0.500], [0.500, 0.000, 0.000], [0.250, 0.167, 0.500], [0.250, 0.667, 0.000], [0.750, 0.333, 0.000], [0.750, 0.833, 0.500], [0.249, 0.334, 0.000], [0.251, 0.834, 0.500], [0.749, 0.166, 0.500], [0.751, 0.666, 0.000]],
  "density_g_cm3": 8.20,
  "e_form_mev_per_atom": 77,
  "final_energy_ev_per_atom": -4.5504
}